# 1
The following is a GGA-PBE calculation of a relaxed structure of CrSi3C, from Alexandria.

Unit cell a=4.425 b=4.425 c=4.425 alpha=90.00 beta=90.00 gamma=90.00
Each line ends with the local moment (μB).
Element x y z (fractional)
Si (0.000, 0.500, 0.000)  0.02
Si (0.000, 0.000, 0.500)  0.00
Si (0.500, 0.000, 0.000)  0.02
C (0.500, 0.500, 0.500)  0.83
Cr (0.000, 0.000, 0.000)  0.31

Computed properties:
Total energy   -5.4740 eV per atom
DOS(E_F)   5.94 states/eV per cell
Formation energy without anion corrections   1.55 eV/atom

# 2
The following is a GGA-PBE calculation of a relaxed structure of LaTaOF2, from Alexandria.

Unit cell a=4.615 b=4.615 c=4.737 alpha=90.00 beta=90.00 gamma=90.00
Element x y z (fractional)
O (0.000, 0.000, 0.500)
F (0.500, 0.000, 0.000)
F (0.000, 0.500, 0.000)
Ta (0.500, 0.500, 0.500)
La (0.000, 0.000, 0.000)

Computed properties:
Total energy   -6.2898 eV per atom
DOS(E_F)   14.20 states/eV per cell
Formation energy without anion corrections   -1.19 eV/atom

Q: What is the DOS(E_F) in the second record?
A: 14.20 states/eV per cell